V2Ni2Pt: relaxed, PBE.

Geometry as POSCAR:
```
V2Ni2Pt
1.0
-1.2610 -0.1879 6.9010
4.6973 -5.1642 0.7177
1.9143 1.7966 0.3987
Pt Ni V
2 4 4
Cartesian
0.0000 0.0000 0.0000
1.7182 -2.6761 3.8093
1.4419 -0.9327 6.1225
3.9087 -2.6228 1.8949
1.3720 -0.0687 2.5650
3.9786 -3.4868 5.4523
1.7958 -3.3615 6.5249
1.6405 -1.9907 1.0937
3.6584 -4.6221 3.2627
-0.2221 -0.7301 4.3559
```

Calculated values
* formation energy from the elements: -29 meV/atom
* total moment: 0.00 μB per formula unit
* volume: 130.8 Å³/cell